ZnTe2Rh: optimized geometry, PBE. Values from VASP.

Calculated values
The calculation puts the total energy at -3.31 eV per atom. The crystal system is cubic. The calculation puts the density of states at the Fermi level at 2.2 states/eV/f.u. The space-group type is F-43m (216). Its uncorrected formation energy is 414 meV per atom.

Quantum ESPRESSO input file:
```
&SYSTEM
  ibrav = 0, nat = 16, ntyp = 3
/
ATOMIC_SPECIES
Zn 65.41 Zn.upf
Te 127.60 Te.upf
Rh 102.91 Rh.upf
ATOMIC_POSITIONS crystal
Zn 0.0000 0.0000 0.0000
Zn 0.0000 0.5000 0.5000
Zn 0.5000 0.0000 0.5000
Zn 0.5000 0.5000 0.0000
Te 0.0000 0.0000 0.5000
Te 0.0000 0.5000 0.0000
Te 0.2500 0.2500 0.7500
Te 0.2500 0.7500 0.2500
Te 0.5000 0.0000 0.0000
Te 0.5000 0.5000 0.5000
Te 0.7500 0.2500 0.2500
Te 0.7500 0.7500 0.7500
Rh 0.2500 0.2500 0.2500
Rh 0.2500 0.7500 0.7500
Rh 0.7500 0.2500 0.7500
Rh 0.7500 0.7500 0.2500
CELL_PARAMETERS angstrom
6.9626 0.0000 0.0000
0.0000 6.9626 0.0000
0.0000 0.0000 6.9626
```